Computed, not measured: crystalline Be2Tc2Pb at its relaxed geometry at the PBE-GGA level of DFT.

## Properties
The value obtained for the mass density is 9.19 Mg/m³. The formation energy is 0.4614 eV per atom. The total magnetic moment is 0.000 Bohr magnetons per cell.

Cell lengths 6.2782, 6.2782, 6.2782 Å; angles 146.24, 146.24, 48.50 degrees
Closest atoms and distances in Å follow each position.
Atoms (fractional coordinates):
Be (0.1039, 0.1039, 0.0000)  1 Be 2.38, 4 Tc 2.47
Be (0.8961, 0.8961, 0.0000)  1 Be 2.38, 4 Tc 2.47
Tc (0.2500, 0.7500, 0.5000)  4 Be 2.47, 4 Tc 2.58
Tc (0.7500, 0.2500, 0.5000)  4 Be 2.47, 4 Tc 2.58
Pb (0.5000, 0.5000, 0.0000)  8 Be 2.84

---

Computed, not measured: crystalline HfAgP2S at its relaxed geometry at the PBE-GGA level of DFT.

## Properties
The value obtained for the mass density is 5.15 Mg/m³. The total magnetic moment is 0.002 Bohr magnetons per cell. The uncorrected formation energy is 1.093 eV/f.u.

Cell lengths 5.0071, 5.0071, 4.8945 Å; angles 90.00, 90.00, 90.00 degrees
Closest atoms and distances in Å follow each position.
Atoms (fractional coordinates):
Hf (0.0000, 0.0000, 0.0000)  2 S 2.45, 4 P 2.50
Ag (0.5000, 0.5000, 0.5000)  8 P 3.50, 4 S 3.54
P (0.0000, 0.5000, 0.0000)  2 Hf 2.50
P (0.5000, 0.0000, 0.0000)  2 Hf 2.50
S (0.0000, 0.0000, 0.5000)  2 Hf 2.45

---

Computed, not measured: crystalline Li2Ac2HfO6 at its relaxed geometry at the PBE-GGA level of DFT.

## Properties
The value obtained for the mass density is 8.11 Mg/m³. The total magnetic moment is 0.000 Bohr magnetons per cell. The uncorrected formation energy is -31.572 eV/f.u.

Cell lengths 6.1666, 6.1666, 6.1666 Å; angles 56.37, 56.37, 56.37 degrees
Closest atoms and distances in Å follow each position.
Atoms (fractional coordinates):
Li (0.0702, 0.0702, 0.0702)  3 O 1.79
Li (0.9298, 0.9298, 0.9298)  3 O 1.79
Ac (0.2813, 0.2813, 0.2813)  3 O 2.58
Ac (0.7187, 0.7187, 0.7187)  3 O 2.58
Hf (0.5000, 0.5000, 0.5000)  6 O 2.08
O (0.2565, 0.2565, 0.7249)  1 Li 1.79
O (0.2565, 0.7249, 0.2565)  1 Li 1.79
O (0.2751, 0.7435, 0.7435)  1 Li 1.79
O (0.7249, 0.2565, 0.2565)  1 Li 1.79
O (0.7435, 0.2751, 0.7435)  1 Li 1.79
O (0.7435, 0.7435, 0.2751)  1 Li 1.79

---

Computed, not measured: crystalline TbNdDy4Er2 at its relaxed geometry at the PBE-GGA level of DFT.

## Properties
The value obtained for the mass density is 8.10 Mg/m³. The formation energy is 0.4355 eV per atom. The total magnetic moment is 6.452 Bohr magnetons per cell.

Cell lengths 9.4810, 9.4810, 6.7825 Å; angles 110.96, 110.96, 88.62 degrees
Closest atoms and distances in Å follow each position.
Atoms (fractional coordinates):
Tb (0.0000, 0.0000, 0.0000)  6 Dy 3.33-3.41, 2 Tb 3.39
Tb (0.0000, 0.0000, 0.5000)  6 Dy 3.33-3.41, 2 Tb 3.39
Nd (0.0000, 0.5000, 0.0000)  6 Dy 3.34-3.40, 2 Er 3.39
Nd (0.5000, 0.0000, 0.5000)  6 Dy 3.34-3.40, 2 Er 3.39
Dy (0.2490, 0.2537, 0.5022)  3 Er 3.28-3.38, 1 Nd 3.34, 2 Dy 3.39, 2 Tb 3.40-3.41
Dy (0.2518, 0.7483, 0.5020)  3 Er 3.29-3.39, 1 Tb 3.33, 2 Dy 3.36-3.42, 2 Nd 3.40
Dy (0.2517, 0.7482, 0.9980)  3 Er 3.29-3.39, 1 Tb 3.33, 2 Dy 3.36-3.42, 2 Nd 3.40
Dy (0.2537, 0.2490, 0.0022)  3 Er 3.28-3.38, 1 Nd 3.34, 2 Dy 3.39, 2 Tb 3.40-3.41
Dy (0.7463, 0.7510, 0.9978)  3 Er 3.28-3.38, 1 Nd 3.34, 2 Dy 3.39, 2 Tb 3.40-3.41
Dy (0.7483, 0.2518, 0.0020)  3 Er 3.29-3.39, 1 Tb 3.33, 2 Dy 3.36-3.42, 2 Nd 3.40
Dy (0.7482, 0.2517, 0.4980)  3 Er 3.29-3.39, 1 Tb 3.33, 2 Dy 3.36-3.42, 2 Nd 3.40
Dy (0.7510, 0.7463, 0.4978)  3 Er 3.28-3.38, 1 Nd 3.34, 2 Dy 3.39, 2 Tb 3.40-3.41
Er (0.0000, 0.5000, 0.5000)  6 Dy 3.28-3.39, 2 Nd 3.39
Er (0.5000, 0.0000, 0.0000)  6 Dy 3.28-3.39, 2 Nd 3.39
Er (0.5000, 0.5000, 0.0000)  6 Dy 3.29-3.38, 2 Er 3.39
Er (0.5000, 0.5000, 0.5000)  6 Dy 3.29-3.38, 2 Er 3.39

---

Computed, not measured: crystalline SmDyEr2 at its relaxed geometry at the PBE-GGA level of DFT.

## Properties
The value obtained for the mass density is 8.51 Mg/m³. The formation energy is 0.0158 eV per atom. The total magnetic moment is 0.000 Bohr magnetons per cell.

Cell lengths 11.6385, 11.6385, 11.6385 Å; angles 17.64, 17.64, 17.64 degrees
Closest atoms and distances in Å follow each position.
Atoms (fractional coordinates):
Sm (0.0000, 0.0000, 0.0000)  6 Er 3.54-3.57, 6 Sm 3.57
Dy (0.8341, 0.8341, 0.8341)  6 Er 3.50-3.51, 6 Dy 3.57
Er (0.2497, 0.2497, 0.2497)  3 Dy 3.50, 3 Sm 3.54, 6 Er 3.57
Er (0.4182, 0.4182, 0.4182)  3 Dy 3.51, 6 Er 3.57, 3 Sm 3.57

---

Computed, not measured: crystalline Zn2InSn2 at its relaxed geometry at the PBE-GGA level of DFT.

## Properties
The value obtained for the mass density is 6.39 Mg/m³. The formation energy is 0.1185 eV per atom. The total magnetic moment is 0.000 Bohr magnetons per cell.

Cell lengths 6.8622, 6.8622, 6.8622 Å; angles 141.28, 141.28, 55.92 degrees
Closest atoms and distances in Å follow each position.
Atoms (fractional coordinates):
Zn (0.2500, 0.7500, 0.5000)  4 Sn 2.78
Zn (0.7500, 0.2500, 0.5000)  4 Sn 2.78
In (0.0000, 0.0000, 0.0000)  8 Sn 3.52, 8 Zn 3.79
Sn (0.3813, 0.3813, 0.0000)  4 Zn 2.78, 1 Sn 2.88
Sn (0.6187, 0.6187, 0.0000)  4 Zn 2.78, 1 Sn 2.88

---

D(E_F) (computed, states/eV/atom): 0.58; 0.94; 0.00; 2.14; 1.42; 0.27